No. 1
Computed, not measured: La2Tb2Pm2Pr after structural relaxation at the PBE-GGA level of DFT.

calculated total energy = -4.749 eV/atom
magnetic moment = 0.0 μB per cell
ΔH_f (0 K) = 22 meV/atom
crystal system = monoclinic

Cell lengths 11.5840, 5.1734, 8.2098 Å; angles 90.00, 97.94, 90.00 degrees
Last column: nearest neighbours and their distance in Å.
Space group C2/m (No. 12)
Inequivalent atoms, fractional coordinates:
La 0.1428 0.0000 0.4275 (multiplicity 4)  5 Tb 3.66-3.68, 3 La 3.67, 1 Pr 3.67, 3 Pm 3.67-3.69
Tb 0.0709 0.5000 0.7153 (multiplicity 4)  2 Pr 3.66, 5 La 3.66-3.68, 4 Pm 3.66-3.67, 1 Tb 3.69
Pm 0.2154 0.5000 0.1413 (multiplicity 4)  2 Pm 3.64, 3 Pr 3.64-3.67, 4 Tb 3.66-3.67, 3 La 3.67-3.69
Pr 0.0000 0.0000 0.0000 (multiplicity 2)  6 Pm 3.64-3.67, 4 Tb 3.66, 2 La 3.67



No. 2
Computed, not measured: La2TbPmPr2 after structural relaxation at the PBE-GGA level of DFT.

calculated total energy = -4.743 eV/atom
magnetic moment = 0.0 μB per cell
ΔH_f (0 K) = 56 meV/atom
crystal system = orthorhombic

Cell lengths 5.8513, 10.1191, 7.1682 Å; angles 90.00, 90.00, 90.00 degrees
Last column: nearest neighbours and their distance in Å.
Space group Pmc2_1 (No. 26)
Inequivalent atoms, fractional coordinates:
La 0.0000 0.1642 0.0003 (multiplicity 2)  3 Pr 3.40-3.59, 2 Tb 3.40
La 0.5000 0.3309 0.5000 (multiplicity 2)  2 Pr 3.34, 3 Tb 3.37-3.59
Tb 0.5000 0.3363 0.9997 (multiplicity 2)  5 La 3.37-3.59
Pm 0.0000 0.4999 0.2500 (multiplicity 2)  2 Pm 3.58, 2 Pr 3.77, 4 Tb 3.81, 6 La 3.83-3.84
Pr 0.0000 0.1718 0.5007 (multiplicity 2)  5 La 3.34-3.59
Pr 0.5000 0.0002 0.2504 (multiplicity 2)  6 Pr 3.58-3.85, 6 La 3.79-3.81, 2 Tb 3.85



No. 3
Computed, not measured: La2Tb5PmPr after structural relaxation at the PBE-GGA level of DFT.

calculated total energy = -4.489 eV/atom
magnetic moment = 0.0 μB per cell
ΔH_f (0 K) = 237 meV/atom
crystal system = tetragonal

Cell lengths 8.7258, 8.7258, 15.9791 Å; angles 90.00, 90.00, 90.00 degrees
Last column: nearest neighbours and their distance in Å.
Space group I4/mcm (No. 140)
Inequivalent atoms, fractional coordinates:
La 0.1183 0.3817 0.0000 (multiplicity 8)  1 La 2.92, 2 Tb 3.06
Tb 0.0000 0.0000 0.0000 (multiplicity 4)  4 La 3.49, 8 Tb 3.84
Tb 0.2130 0.2870 0.3597 (multiplicity 16)  1 La 3.06, 1 Pr 3.16
Pm 0.0000 0.0000 0.2500 (multiplicity 4)  10 Tb 3.58-3.99
Pr 0.0000 0.5000 0.2500 (multiplicity 4)  4 Tb 3.16



No. 4
Computed, not measured: La2TbPmPr after structural relaxation at the PBE-GGA level of DFT.

calculated total energy = -4.596 eV/atom
magnetic moment = 0.0 μB per cell
ΔH_f (0 K) = 207 meV/atom
crystal system = orthorhombic

Cell lengths 6.5476, 7.9765, 6.8743 Å; angles 90.00, 90.00, 90.00 degrees
Last column: nearest neighbours and their distance in Å.
Space group Pmma (No. 51)
Inequivalent atoms, fractional coordinates:
La 0.2500 0.2050 0.2056 (multiplicity 4)  1 Pm 3.11, 1 La 3.27
Tb 0.0000 0.5000 0.5000 (multiplicity 2)  2 Pm 3.25, 2 Tb 3.27, 4 La 3.51
Pm 0.2500 0.5000 0.9091 (multiplicity 2)  2 La 3.11, 2 Tb 3.25
Pr 0.2500 0.0000 0.6824 (multiplicity 2)  8 La 3.66-3.95



No. 5
Computed, not measured: LaTb2Pm5Pr after structural relaxation at the PBE-GGA level of DFT.

calculated total energy = -4.489 eV/atom
magnetic moment = 0.0 μB per cell
ΔH_f (0 K) = 258 meV/atom
crystal system = tetragonal

Cell lengths 8.1449, 8.1449, 9.5598 Å; angles 90.00, 90.00, 90.00 degrees
Last column: nearest neighbours and their distance in Å.
Space group P4/mbm (No. 127)
Inequivalent atoms, fractional coordinates:
La 0.0000 0.5000 0.0000 (multiplicity 2)  4 Pm 3.25
Tb 0.1285 0.3715 0.5000 (multiplicity 4)  1 Tb 2.96, 4 Pm 3.18-3.20
Pm 0.0000 0.0000 0.5000 (multiplicity 2)  4 Tb 3.20
Pm 0.2000 0.7000 0.2398 (multiplicity 8)  1 Tb 3.18, 1 La 3.25
Pr 0.0000 0.0000 0.0000 (multiplicity 2)  8 Pm 3.73, 4 La 4.07



No. 6
Computed, not measured: La2Tb2PmPr2 after structural relaxation at the PBE-GGA level of DFT.

calculated total energy = -4.754 eV/atom
magnetic moment = 0.0 μB per cell
ΔH_f (0 K) = 21 meV/atom
crystal system = monoclinic

Cell lengths 11.5933, 5.1895, 8.2379 Å; angles 90.00, 98.05, 90.00 degrees
Last column: nearest neighbours and their distance in Å.
Space group C2/m (No. 12)
Inequivalent atoms, fractional coordinates:
La 0.1419 0.0000 0.4270 (multiplicity 4)  5 Tb 3.66-3.68, 3 La 3.66-3.69, 1 Pm 3.67, 3 Pr 3.68-3.70
Tb 0.0709 0.5000 0.7145 (multiplicity 4)  5 La 3.66-3.68, 4 Pr 3.67-3.68, 2 Pm 3.67, 1 Tb 3.68
Pm 0.0000 0.0000 0.0000 (multiplicity 2)  6 Pr 3.66-3.67, 2 La 3.67, 4 Tb 3.67
Pr 0.2147 0.5000 0.1421 (multiplicity 4)  3 Pm 3.66-3.67, 2 Pr 3.66, 4 Tb 3.67-3.68, 3 La 3.68-3.70



No. 7
Computed, not measured: LaTbPmPr2 after structural relaxation at the PBE-GGA level of DFT.

calculated total energy = -4.520 eV/atom
magnetic moment = 0.0 μB per cell
ΔH_f (0 K) = 254 meV/atom
crystal system = monoclinic

Cell lengths 8.5471, 6.6720, 6.3746 Å; angles 90.00, 94.91, 90.00 degrees
Last column: nearest neighbours and their distance in Å.
Space group P2/c (No. 13)
Inequivalent atoms, fractional coordinates:
La 0.0000 0.0000 0.0000 (multiplicity 2)  2 La 3.19, 2 Pm 3.30, 2 Pr 3.56
Tb 0.5000 0.1639 0.2500 (multiplicity 2)  8 Pr 3.55-3.86, 2 Tb 3.87
Pm 0.0000 0.4327 0.2500 (multiplicity 2)  2 Pr 3.18, 2 La 3.30, 2 Pm 3.31
Pr 0.3103 0.3102 0.7205 (multiplicity 4)  1 Pm 3.18, 1 Pr 3.23, 1 Tb 3.55, 1 La 3.56



No. 8
Computed, not measured: La2Tb2Pm4Pr after structural relaxation at the PBE-GGA level of DFT.

calculated total energy = -4.764 eV/atom
magnetic moment = 0.0 μB per cell
ΔH_f (0 K) = 3 meV/atom
crystal system = monoclinic

Cell lengths 19.1680, 3.6940, 9.7958 Å; angles 90.00, 115.79, 90.00 degrees
Last column: nearest neighbours and their distance in Å.
Space group C2/m (No. 12)
Inequivalent atoms, fractional coordinates:
La 0.1669 0.0000 0.4984 (multiplicity 4)  3 Tb 3.63-3.64, 3 Pm 3.65-3.66, 4 La 3.67-3.69, 2 Pr 3.70
Tb 0.1481 0.5000 0.1654 (multiplicity 4)  7 Pm 3.60-3.69, 3 La 3.63-3.64, 2 Tb 3.69
Pm 0.0190 0.0000 0.8373 (multiplicity 4)  5 Pm 3.56-3.71, 4 Tb 3.60-3.69, 1 La 3.65, 2 Pr 3.66
Pm 0.1861 0.5000 0.8352 (multiplicity 4)  6 Pm 3.60-3.71, 3 Tb 3.61-3.68, 1 Pr 3.65, 2 La 3.66
Pr 0.0000 0.5000 0.5000 (multiplicity 2)  6 Pm 3.65-3.66, 2 Pr 3.69, 4 La 3.70